No. 1
VASP calculation (PBE) on a relaxed LiScIn crystal.

Cell and atoms, written as extended XYZ:
```
3
Lattice="4.8168 0.0000 0.0000 2.4084 4.1714 0.0000 2.4084 1.3905 3.9329" Properties=species:S:1:pos:R:3 pbc="T T T"
In 0.0000 0.0000 0.0000
Li 4.8168 2.7810 1.9664
Sc 7.2251 4.1714 2.9496
```

## Properties
The value obtained for the formation energy is 289 meV per atom. The calculation puts the volume at 26.341 A^3/atom. Its symmetry is F-43m.

---

No. 2
VASP calculation (PBE) on a relaxed Tl4PdI8 crystal.

Cell and atoms, written as extended XYZ:
```
13
Lattice="7.5418 0.0000 3.9825 3.7709 8.0328 1.9913 0.0199 0.0000 9.0945" Properties=species:S:1:pos:R:3 pbc="T T T"
Tl 1.8854 4.0164 0.9956
Tl 5.6563 4.0164 2.9869
Tl 3.7809 0.0000 6.5385
Tl 0.0100 0.0000 4.5473
Pd 0.0000 0.0000 0.0000
I 4.6583 6.1751 9.4431
I 6.6744 1.8576 5.6252
I 2.9035 6.1751 3.6339
I 8.4292 1.8576 11.4344
I 2.7925 2.0952 3.8440
I 8.5401 5.9376 11.2243
I 4.7692 2.0952 9.2330
I 6.5634 5.9375 5.8353
```

## Properties
Its uncorrected formation energy is -335 meV/atom. The calculation puts the volume at 42.332 A^3/atom. Its symmetry is I4/mmm.

---

No. 3
VASP calculation (PBE) on a relaxed BaIrOs2 crystal.

Cell and atoms, written as extended XYZ:
```
4
Lattice="-3.0677 -0.3528 3.1497 -2.2550 -2.4792 -2.4740 1.9682 -3.3309 1.5439" Properties=species:S:1:pos:R:3 pbc="T T T"
Ir -0.5498 -1.8418 2.3468
Os 0.0000 0.0000 0.0000
Os -0.1434 -2.9051 -0.4651
Ba -2.6614 -1.4160 0.3378
```

## Properties
The value obtained for the formation energy is 1545 meV per atom. The calculation puts the energy above the lowest structure with this stoichiometry at 1265 meV/atom. The calculation puts the volume at 19.135 A^3/atom. Its symmetry is P4/mmm.

---

No. 4
VASP calculation (PBE) on a relaxed CrTc2Rh crystal.

Cell and atoms, written as extended XYZ:
```
4
Lattice="4.6922 -0.0035 0.0000 1.6285 4.4005 0.0000 -3.1603 -2.1985 2.6824" Properties=species:S:1:pos:R:3 pbc="T T T"
Cr 0.8142 2.2003 1.3412
Rh 2.3461 -0.0017 1.3412
Tc 0.0000 0.0000 0.0000
Tc 3.1603 2.1985 0.0000
```

## Properties
The value obtained for the formation energy is 31 meV per atom. The calculation puts the energy above the lowest structure with this stoichiometry at 14 meV/atom. The calculation puts the volume at 13.850 A^3/atom. Its symmetry is I4/mmm.

---

No. 5
VASP calculation (PBE) on a relaxed Sr2SiBi crystal.

Cell and atoms, written as extended XYZ:
```
8
Lattice="8.8021 0.0000 0.0000 0.0000 8.8021 0.0000 4.4010 4.4010 3.4939" Properties=species:S:1:pos:R:3 pbc="T T T"
Sr 6.3985 2.2005 0.8735
Sr 2.4036 6.6016 0.8735
Sr 6.6016 6.8046 2.6204
Sr 11.0026 10.7996 2.6204
Si 4.4010 4.4010 0.0000
Si 4.4010 8.8021 1.7469
Bi 0.0000 0.0000 0.0000
Bi 8.8021 4.4010 1.7469
```

## Properties
The calculation puts the energy above the lowest structure with this stoichiometry at 204 meV/atom. Its uncorrected formation energy is -165 meV/atom. The calculation puts the volume at 33.837 A^3/atom. Its symmetry is I-42d.

---

No. 6
VASP calculation (PBE) on a relaxed V2IrRu2 crystal.

Cell and atoms, written as extended XYZ:
```
10
Lattice="7.0494 0.0000 0.0000 0.0000 7.0494 0.0000 0.0000 0.0000 2.8554" Properties=species:S:1:pos:R:3 pbc="T T T"
Ru 1.0686 4.5933 1.4277
Ru 4.5933 5.9809 1.4277
Ru 5.9809 2.4562 1.4277
Ru 2.4562 1.0686 1.4277
Ir 0.0000 0.0000 0.0000
Ir 3.5247 3.5247 0.0000
V 2.4749 5.9996 0.0000
V 5.9996 4.5745 0.0000
V 4.5745 1.0498 0.0000
V 1.0498 2.4749 0.0000
```

## Properties
The value obtained for the formation energy is -30 meV per atom. The calculation puts the energy above the lowest structure with this stoichiometry at 31 meV/atom. The calculation puts the volume at 14.190 A^3/atom. Its symmetry is P4/mbm.